1.
DFT (GGA-PBEsol) results for an optimized crystal structure of Zr2CoW.

Cell: 2.976 2.976 7.828 Å, 90.00 90.00 90.00°
Fractional positions:
Zr 0.000 0.000 0.000
Zr 0.500 0.500 0.326
Co 0.000 0.000 0.568
W 0.500 0.500 0.733

Values from the calculation:
**N(E_F)**: 5.3 states/eV/f.u.
**Space-group type**: P4mm
**Magnetic moment**: 0.000 μB per atom
**ΔH_f (0 K)**: 0.07 eV per atom

2.
DFT (GGA-PBEsol) results for an optimized crystal structure of ZrCoW2.

Cell: 2.749 4.577 5.011 Å, 90.00 99.26 90.00°
Fractional positions:
Zr 0.000 0.000 0.000
Co 0.500 0.000 0.500
W 0.265 0.500 0.747
W 0.735 0.500 0.253

Values from the calculation:
**N(E_F)**: 4.5 states/eV/f.u.
**Space-group type**: P2/m
**Energy relative to the lowest polymorph listed for this composition**: 0.192 eV per atom
**Magnetic moment**: 0.225 μB per atom
**ΔH_f (0 K)**: 0.26 eV per atom

3.
DFT (GGA-PBEsol) results for an optimized crystal structure of ZrCo6W.

Cell: 6.231 6.231 10.193 Å, 90.00 90.00 109.42°
Fractional positions:
Zr 0.000 0.000 0.250
Zr 0.000 0.000 0.750
Zr 0.248 0.752 0.000
Zr 0.752 0.248 0.000
Co 0.000 0.000 0.000
Co 0.000 0.000 0.500
Co 0.130 0.384 0.380
Co 0.130 0.384 0.620
Co 0.134 0.381 0.130
Co 0.134 0.381 0.870
Co 0.255 0.745 0.258
Co 0.255 0.745 0.742
Co 0.381 0.134 0.130
Co 0.381 0.134 0.870
Co 0.384 0.130 0.380
Co 0.384 0.130 0.620
Co 0.500 0.500 0.000
Co 0.500 0.500 0.500
Co 0.616 0.870 0.380
Co 0.616 0.870 0.620
Co 0.619 0.866 0.130
Co 0.619 0.866 0.870
Co 0.745 0.255 0.258
Co 0.745 0.255 0.742
Co 0.866 0.619 0.130
Co 0.866 0.619 0.870
Co 0.870 0.616 0.380
Co 0.870 0.616 0.620
W 0.247 0.753 0.500
W 0.500 0.500 0.248
W 0.500 0.500 0.752
W 0.753 0.247 0.500

Values from the calculation:
**N(E_F)**: 8.1 states/eV/f.u.
**Space-group type**: Cmmm
**Magnetic moment**: 0.000 μB per atom
**ΔH_f (0 K)**: -0.16 eV per atom

4.
DFT (GGA-PBEsol) results for an optimized crystal structure of ZrCoW2.

Cell: 4.888 4.888 5.102 Å, 103.05 103.05 32.16°
Fractional positions:
Zr 0.000 0.000 0.000
Co 0.254 0.254 0.863
W 0.566 0.566 0.534
W 0.795 0.795 0.339

Values from the calculation:
**N(E_F)**: 3.5 states/eV/f.u.
**Space-group type**: Cm
**Energy relative to the lowest polymorph listed for this composition**: 0.241 eV per atom
**Magnetic moment**: 0.000 μB per atom
**ΔH_f (0 K)**: 0.30 eV per atom

5.
DFT (GGA-PBEsol) results for an optimized crystal structure of ZrCo2W.

Cell: 4.320 4.320 4.320 Å, 60.00 60.00 60.00°
Fractional positions:
Zr 0.000 0.000 0.000
Co 0.250 0.250 0.250
Co 0.750 0.750 0.750
W 0.500 0.500 0.500

Values from the calculation:
**N(E_F)**: 4.5 states/eV/f.u.
**Space-group type**: Fm-3m
**Magnetic moment**: 0.788 μB per atom
**ΔH_f (0 K)**: 0.06 eV per atom

6.
DFT (GGA-PBEsol) results for an optimized crystal structure of ZrCoW2.

Cell: 9.583 9.583 9.583 Å, 16.59 16.59 16.59°
Fractional positions:
Zr 0.000 0.000 0.000
Co 0.500 0.500 0.500
W 0.239 0.239 0.239
W 0.761 0.761 0.761

Values from the calculation:
**N(E_F)**: 4.6 states/eV/f.u.
**Space-group type**: R-3m
**Energy relative to the lowest polymorph listed for this composition**: 0.336 eV per atom
**Magnetic moment**: 0.206 μB per atom
**ΔH_f (0 K)**: 0.40 eV per atom